[1]
First-principles (PBE-GGA) data for crystalline LiNdErBe at its relaxed geometry, as listed in Alexandria via LeMat-Bulk.

Lattice parameters (Å, degrees): 7.1383 7.1383 7.1383 90.00 90.00 90.00
Closest atoms and distances in Å follow each position.
Space group F-43m (No. 216)
Unique sites:
1 Li 0.0000 0.0000 0.0000 (multiplicity 4)  4 Nd 3.09, 4 Er 3.09
2 Nd 0.2500 0.2500 0.7500 (multiplicity 4)  4 Li 3.09, 4 Be 3.09
3 Er 0.2500 0.2500 0.2500 (multiplicity 4)  4 Li 3.09, 4 Be 3.09
4 Be 0.0000 0.0000 0.5000 (multiplicity 4)  4 Er 3.09, 4 Nd 3.09

Values from the calculation:
Formation energy = 0.61 eV/f.u.

[2]
First-principles (PBE-GGA) data for crystalline Dy2HPd6 at its relaxed geometry, as listed in Alexandria via LeMat-Bulk.

Lattice parameters (Å, degrees): 5.8384 5.8384 8.3025 90.00 90.00 90.00
Closest atoms and distances in Å follow each position.
Space group I4/mmm (No. 139)
Unique sites:
1 Dy 0.0000 0.5000 0.2500 (multiplicity 4)  12 Pd 2.92-2.93
2 H 0.0000 0.0000 0.0000 (multiplicity 2)  6 Pd 2.08
3 Pd 0.0000 0.0000 0.2511 (multiplicity 4)  1 H 2.08
4 Pd 0.2486 0.2486 0.5000 (multiplicity 8)  1 H 2.08

Values from the calculation:
Uncorrected energy = -5.690 eV per atom

[3]
First-principles (PBE-GGA) data for crystalline Er5Pd2Pt2 at its relaxed geometry, as listed in Alexandria via LeMat-Bulk.

Lattice parameters (Å, degrees): 14.6241 7.4571 7.6172 90.00 90.00 90.00
Closest atoms and distances in Å follow each position.
Space group Cmce (No. 64)
Unique sites:
1 Er 0.0000 0.0000 0.0000 (multiplicity 4)  4 Pt 2.92-2.96, 2 Pd 2.97
2 Er 0.1361 0.1706 0.3331 (multiplicity 16)  3 Pt 2.90-3.05, 3 Pd 2.94-3.00
3 Pd 0.2034 0.0000 0.0000 (multiplicity 8)  7 Er 2.94-3.00
4 Pt 0.0000 0.1331 0.6335 (multiplicity 8)  1 Pt 2.84, 8 Er 2.90-3.05

Values from the calculation:
Formation energy = -9.00 eV/f.u.

[4]
First-principles (PBE-GGA) data for crystalline Pm5Ni2Te2 at its relaxed geometry, as listed in Alexandria via LeMat-Bulk.

Lattice parameters (Å, degrees): 15.8538 7.8405 7.9266 90.00 90.00 90.00
Closest atoms and distances in Å follow each position.
Space group Cmce (No. 64)
Unique sites:
1 Pm 0.0000 0.0000 0.0000 (multiplicity 4)  4 Ni 3.05-3.15, 2 Te 3.26
2 Pm 0.1193 0.1572 0.3408 (multiplicity 16)  3 Ni 2.95-3.04, 3 Te 3.27-3.29
3 Ni 0.0000 0.1326 0.6253 (multiplicity 8)  1 Ni 2.88, 8 Pm 2.95-3.15
4 Te 0.2057 0.0000 0.0000 (multiplicity 8)  7 Pm 3.26-3.29

Values from the calculation:
ΔE_f (raw) = -0.7461 eV/atom

Please write out number 2 again, unchanged.
First-principles (PBE-GGA) data for crystalline Dy2HPd6 at its relaxed geometry, as listed in Alexandria via LeMat-Bulk.

Lattice parameters (Å, degrees): 5.8384 5.8384 8.3025 90.00 90.00 90.00
Closest atoms and distances in Å follow each position.
Space group I4/mmm (No. 139)
Unique sites:
1 Dy 0.0000 0.5000 0.2500 (multiplicity 4)  12 Pd 2.92-2.93
2 H 0.0000 0.0000 0.0000 (multiplicity 2)  6 Pd 2.08
3 Pd 0.0000 0.0000 0.2511 (multiplicity 4)  1 H 2.08
4 Pd 0.2486 0.2486 0.5000 (multiplicity 8)  1 H 2.08

Values from the calculation:
Uncorrected energy = -5.690 eV per atom